1.
The following is a PBE calculation of crystalline Na3Pu2MnSe6 at its relaxed geometry, from Alexandria.

Values from the calculation:
As for the space-group type: C2/m, No. 12. As for the size of the total moment: 14.00 μB/f.u. Its total energy is -6.400 eV per atom. The energy relative to the elements, uncorrected is -1.175 eV/atom.

Lattice parameters (Å, degrees): 7.080 7.080 7.339 99.25 99.25 120.06
Element x y z (fractional)
Na: 0.000 0.000 0.000
Na: 0.332 0.668 0.000
Na: 0.668 0.332 0.000
Pu: 0.167 0.833 0.500
Pu: 0.833 0.167 0.500
Mn: 0.500 0.500 0.500
Se: 0.105 0.425 0.276
Se: 0.255 0.255 0.723
Se: 0.425 0.105 0.276
Se: 0.575 0.895 0.724
Se: 0.745 0.745 0.277
Se: 0.895 0.575 0.724

***

2.
The following is a PBE calculation of crystalline KCl5 at its relaxed geometry, from Alexandria.

Values from the calculation:
As for the space-group type: P6/mmm, No. 191. As for the size of the total moment: 3.27 μB/f.u. Its total energy is -1.809 eV per atom. For the distance to the lowest polymorph of the same formula, the calculation gives 3.451 eV/f.u. The energy relative to the elements, uncorrected is -0.088 eV/atom.

Lattice parameters (Å, degrees): 6.330 6.330 4.831 90.00 90.00 120.00
Element x y z (fractional)
K: 0.000 0.000 0.000
Cl: 0.000 0.500 0.500
Cl: 0.333 0.667 0.000
Cl: 0.500 0.000 0.500
Cl: 0.500 0.500 0.500
Cl: 0.667 0.333 0.000

***

3.
The following is a PBE calculation of crystalline ZnTc2Os at its relaxed geometry, from Alexandria.

Values from the calculation:
As for the space-group type: Cmm2, No. 35. As for the size of the total moment: 0.00 μB/f.u. Its total energy is -8.020 eV per atom.

Lattice parameters (Å, degrees): 2.689 2.689 9.021 90.00 90.00 116.00
Element x y z (fractional)
Zn: 0.000 0.000 0.000
Tc: 0.000 0.000 0.498
Tc: 0.500 0.500 0.252
Os: 0.500 0.500 0.749

***

4.
The following is a PBE calculation of crystalline LiMg2MoH8 at its relaxed geometry, from Alexandria.

Values from the calculation:
As for the space-group type: I-4m2, No. 119. As for the size of the total moment: 0.78 μB/f.u. Its total energy is -3.702 eV per atom.

Lattice parameters (Å, degrees): 5.567 5.567 5.567 132.40 132.40 69.60
Element x y z (fractional)
Li: 0.000 0.000 0.000
Mg: 0.250 0.750 0.500
Mg: 0.500 0.500 0.000
Mo: 0.750 0.250 0.500
H: 0.102 0.130 0.491
H: 0.102 0.611 0.972
H: 0.389 0.361 0.491
H: 0.389 0.898 0.028
H: 0.639 0.130 0.028
H: 0.639 0.611 0.509
H: 0.870 0.361 0.972
H: 0.870 0.898 0.509

***

5.
The following is a PBE calculation of crystalline Sr3SnN at its relaxed geometry, from Alexandria.

Values from the calculation:
As for the space-group type: I-4m2, No. 119. As for the size of the total moment: 1.00 μB/f.u. Its total energy is -2.693 eV per atom. The energy relative to the elements, uncorrected is 0.782 eV/atom.

Lattice parameters (Å, degrees): 12.572 12.572 12.572 151.74 151.74 40.40
Element x y z (fractional)
Sr: 0.199 0.199 0.000
Sr: 0.375 0.139 0.763
Sr: 0.375 0.612 0.237
Sr: 0.388 0.625 0.763
Sr: 0.801 0.801 0.000
Sr: 0.861 0.625 0.237
Sn: 0.250 0.750 0.500
Sn: 0.500 0.500 0.000
N: 0.654 0.154 0.500
N: 0.846 0.346 0.500

***

6.
The following is a PBE calculation of crystalline K9Na2Hg3 at its relaxed geometry, from Alexandria.

Values from the calculation:
As for the space-group type: C2/c, No. 15. As for the size of the total moment: 0.00 μB/f.u. Its total energy is -1.048 eV per atom.

Lattice parameters (Å, degrees): 10.922 10.922 15.177 110.92 110.92 59.74
Element x y z (fractional)
K: 0.019 0.203 0.058
K: 0.082 0.652 0.250
K: 0.141 0.330 0.424
K: 0.178 0.822 0.750
K: 0.203 0.019 0.558
K: 0.330 0.141 0.924
K: 0.348 0.918 0.250
K: 0.380 0.504 0.076
K: 0.496 0.620 0.424
K: 0.504 0.380 0.576
K: 0.620 0.496 0.924
K: 0.652 0.082 0.750
K: 0.670 0.859 0.076
K: 0.797 0.981 0.442
K: 0.822 0.178 0.250
K: 0.859 0.670 0.576
K: 0.918 0.348 0.750
K: 0.981 0.797 0.942
Na: 0.248 0.417 0.750
Na: 0.417 0.248 0.250
Na: 0.583 0.752 0.750
Na: 0.752 0.583 0.250
Hg: 0.000 0.500 0.000
Hg: 0.162 0.674 0.500
Hg: 0.326 0.838 0.000
Hg: 0.500 0.000 0.500
Hg: 0.674 0.162 0.000
Hg: 0.838 0.326 0.500

***

7.
The following is a PBE calculation of crystalline Ac5Zn2Hg at its relaxed geometry, from Alexandria.

Values from the calculation:
As for the space-group type: I4/mcm, No. 140. As for the size of the total moment: 0.00 μB/f.u. Its total energy is -3.151 eV per atom.

Lattice parameters (Å, degrees): 10.346 10.346 10.346 134.33 134.33 66.57
Element x y z (fractional)
Ac: 0.000 0.000 0.000
Ac: 0.026 0.526 0.846
Ac: 0.180 0.026 0.500
Ac: 0.320 0.820 0.846
Ac: 0.474 0.320 0.500
Ac: 0.500 0.500 0.000
Ac: 0.526 0.680 0.500
Ac: 0.680 0.180 0.154
Ac: 0.820 0.974 0.500
Ac: 0.974 0.474 0.154
Zn: 0.114 0.386 0.500
Zn: 0.386 0.886 0.272
Zn: 0.614 0.114 0.728
Zn: 0.886 0.614 0.500
Hg: 0.250 0.250 0.000
Hg: 0.750 0.750 0.000

***

8.
The following is a PBE calculation of crystalline ScZn5Pt6 at its relaxed geometry, from Alexandria.

Values from the calculation:
As for the space-group type: Cmmm, No. 65. As for the size of the total moment: 0.00 μB/f.u. Its total energy is -4.793 eV per atom.

Lattice parameters (Å, degrees): 6.495 6.495 7.125 90.00 90.00 142.98
Element x y z (fractional)
Sc: 0.000 0.000 0.000
Zn: 0.000 0.000 0.500
Zn: 0.330 0.670 0.000
Zn: 0.336 0.664 0.500
Zn: 0.664 0.336 0.500
Zn: 0.670 0.330 0.000
Pt: 0.169 0.831 0.256
Pt: 0.169 0.831 0.744
Pt: 0.500 0.500 0.255
Pt: 0.500 0.500 0.745
Pt: 0.831 0.169 0.256
Pt: 0.831 0.169 0.744

***

9.
The following is a PBE calculation of crystalline Tb8C3S4F at its relaxed geometry, from Alexandria.

Values from the calculation:
As for the space-group type: R-3m, No. 166. As for the size of the total moment: 0.00 μB/f.u. Its total energy is -6.725 eV per atom. The energy relative to the elements, uncorrected is -1.532 eV/atom.

Lattice parameters (Å, degrees): 7.643 7.643 7.643 58.69 58.69 58.69
Element x y z (fractional)
Tb: 0.223 0.749 0.749
Tb: 0.239 0.239 0.239
Tb: 0.251 0.251 0.777
Tb: 0.251 0.777 0.251
Tb: 0.749 0.223 0.749
Tb: 0.749 0.749 0.223
Tb: 0.761 0.761 0.761
Tb: 0.777 0.251 0.251
C: 0.000 0.000 0.500
C: 0.000 0.500 0.000
C: 0.500 0.000 0.000
S: 0.000 0.000 0.000
S: 0.000 0.500 0.500
S: 0.500 0.000 0.500
S: 0.500 0.500 0.000
F: 0.500 0.500 0.500

***

10.
The following is a PBE calculation of crystalline CdReRhI2 at its relaxed geometry, from Alexandria.

Values from the calculation:
As for the space-group type: P4/mmm, No. 123. As for the size of the total moment: 0.00 μB/f.u. Its total energy is -3.793 eV per atom. The energy relative to the elements, uncorrected is 0.970 eV/atom.

Lattice parameters (Å, degrees): 5.404 5.404 4.847 90.00 90.00 90.00
Element x y z (fractional)
Cd: 0.000 0.000 0.000
Re: 0.500 0.500 0.500
Rh: 0.500 0.500 0.000
I: 0.000 0.500 0.500
I: 0.500 0.000 0.500

***

> Which value of size of the total moment does entry 4 give?

0.78 μB/f.u.